(1)
A geometry-optimized AcPrB4 structure. Source: the Open Quantum Materials Database, functional PBE.

```
data_AcPrB4
_chemical_formula_sum 'Ac1 Pr1 B4'
_cell_length_a 3.3807
_cell_length_b 3.3807
_cell_length_c 8.6566
_cell_angle_alpha 90.00
_cell_angle_beta 90.00
_cell_angle_gamma 120.00
_space_group_name_H-M_alt 'P 6/m m m'
_space_group_IT_number 191
_space_group_name_Hall '-P 6 2'
loop_
_atom_site_label
_atom_site_type_symbol
_atom_site_fract_x
_atom_site_fract_y
_atom_site_fract_z
Ac1 Ac 0.0000 0.0000 0.0000
Pr1 Pr 0.0000 0.0000 0.5000
B1 B 0.3333 0.6667 0.2615
```

***

(2)
A geometry-optimized Pr2NdNi7Pt2 structure. Source: the Open Quantum Materials Database, functional PBE.

```
data_Pr2NdNi7Pt2
_chemical_formula_sum 'Pr6 Nd3 Ni21 Pt6'
_cell_length_a 5.1638
_cell_length_b 5.1638
_cell_length_c 25.4280
_cell_angle_alpha 90.00
_cell_angle_beta 90.00
_cell_angle_gamma 120.00
_space_group_name_H-M_alt 'R -3 m'
_space_group_IT_number 166
_space_group_name_Hall '-R 3 2"'
loop_
_atom_site_label
_atom_site_type_symbol
_atom_site_fract_x
_atom_site_fract_y
_atom_site_fract_z
Pr1 Pr 0.0000 0.0000 0.1388
Nd1 Nd 0.0000 0.0000 0.0000
Ni1 Ni 0.0000 0.0000 0.5000
Ni2 Ni 0.0016 0.5008 0.0846
Pt1 Pt 0.0000 0.0000 0.3323
```

***

(3)
A geometry-optimized FeCuI2Br2 structure. Source: the Open Quantum Materials Database, functional PBE.

```
data_FeCuI2Br2
_chemical_formula_sum 'Fe1 Cu1 I2 Br2'
_cell_length_a 5.9868
_cell_length_b 5.9938
_cell_length_c 6.8907
_cell_angle_alpha 114.40
_cell_angle_beta 114.70
_cell_angle_gamma 90.19
_space_group_name_H-M_alt 'P 1'
_space_group_IT_number 1
loop_
_space_group_symop_operation_xyz
'x,y,z'
loop_
_atom_site_label
_atom_site_type_symbol
_atom_site_fract_x
_atom_site_fract_y
_atom_site_fract_z
Fe1 Fe 0.0000 0.0000 0.0000
Cu1 Cu 0.7660 0.2393 0.5000
I1 I 0.1345 0.6297 0.7508
I2 I 0.3787 0.3688 0.2488
Br1 Br 0.6561 0.1119 0.7503
Br2 Br 0.8925 0.8907 0.2492
```

***

(4)
A geometry-optimized NaHfAgTe3 structure. Source: the Open Quantum Materials Database, functional PBE.

```
data_NaHfAgTe3
_chemical_formula_sum 'Na4 Hf4 Ag4 Te12'
_cell_length_a 4.0983
_cell_length_b 14.6914
_cell_length_c 11.0729
_cell_angle_alpha 90.00
_cell_angle_beta 90.00
_cell_angle_gamma 90.00
_space_group_name_H-M_alt 'C m c m'
_space_group_IT_number 63
_space_group_name_Hall '-C 2c 2'
loop_
_atom_site_label
_atom_site_type_symbol
_atom_site_fract_x
_atom_site_fract_y
_atom_site_fract_z
Na1 Na 0.0000 0.2316 0.2500
Hf1 Hf 0.0000 0.0000 0.0000
Ag1 Ag 0.0000 0.4585 0.7500
Te1 Te 0.0000 0.0865 0.7500
Te2 Te 0.0000 0.3611 0.5396
```

***

(5)
A geometry-optimized PrGd2In3Pt2Au structure. Source: the Open Quantum Materials Database, functional PBE.

```
data_PrGd2In3Pt2Au
_chemical_formula_sum 'Pr2 Gd4 In6 Pt4 Au2'
_cell_length_a 3.9309
_cell_length_b 13.5859
_cell_length_c 7.8056
_cell_angle_alpha 90.00
_cell_angle_beta 90.00
_cell_angle_gamma 90.00
_space_group_name_H-M_alt 'A m m 2'
_space_group_IT_number 38
loop_
_space_group_symop_operation_xyz
'x,y,z'
'-x,-y,z'
'-x,y,z'
'x,-y,z'
'x,y+1/2,z+1/2'
'-x,-y+1/2,z+1/2'
'-x,y+1/2,z+1/2'
'x,-y+1/2,z+1/2'
loop_
_atom_site_label
_atom_site_type_symbol
_atom_site_fract_x
_atom_site_fract_y
_atom_site_fract_z
Pr1 Pr 0.0000 0.0000 0.0000
Gd1 Gd 0.0000 0.2048 0.6139
In1 In 0.5000 0.0000 0.6728
In2 In 0.5000 0.1337 0.2781
Pt1 Pt 0.5000 0.1700 0.9080
Au1 Au 0.0000 0.0000 0.4115
```

***

(6)
A geometry-optimized YCoGeIr structure. Source: the Open Quantum Materials Database, functional PBE.

```
data_YCoGeIr
_chemical_formula_sum 'Y4 Co4 Ge4 Ir4'
_cell_length_a 6.5264
_cell_length_b 6.5264
_cell_length_c 6.5264
_cell_angle_alpha 90.00
_cell_angle_beta 90.00
_cell_angle_gamma 90.00
_space_group_name_H-M_alt 'F -4 3 m'
_space_group_IT_number 216
_space_group_name_Hall 'F -4 2 3'
loop_
_atom_site_label
_atom_site_type_symbol
_atom_site_fract_x
_atom_site_fract_y
_atom_site_fract_z
Y1 Y 0.0000 0.0000 0.0000
Co1 Co 0.0000 0.0000 0.5000
Ge1 Ge 0.2500 0.2500 0.2500
Ir1 Ir 0.2500 0.2500 0.7500
```

***

(7)
A geometry-optimized CsLiZrSe3 structure. Source: the Open Quantum Materials Database, functional PBE.

```
data_CsLiZrSe3
_chemical_formula_sum 'Cs4 Li4 Zr4 Se12'
_cell_length_a 4.0081
_cell_length_b 15.7575
_cell_length_c 10.5261
_cell_angle_alpha 90.00
_cell_angle_beta 90.00
_cell_angle_gamma 90.00
_space_group_name_H-M_alt 'C m c m'
_space_group_IT_number 63
_space_group_name_Hall '-C 2c 2'
loop_
_atom_site_label
_atom_site_type_symbol
_atom_site_fract_x
_atom_site_fract_y
_atom_site_fract_z
Cs1 Cs 0.0000 0.2408 0.2500
Li1 Li 0.0000 0.0391 0.7500
Zr1 Zr 0.0000 0.5000 0.0000
Se1 Se 0.0000 0.1153 0.5440
Se2 Se 0.0000 0.4484 0.7500
```

***

(8)
A geometry-optimized Pu3Zn4 structure. Source: the Open Quantum Materials Database, functional PBE.

```
data_Pu3Zn4
_chemical_formula_sum 'Pu12 Zn16'
_cell_length_a 4.1408
_cell_length_b 15.1747
_cell_length_c 8.7442
_cell_angle_alpha 90.00
_cell_angle_beta 90.00
_cell_angle_gamma 90.00
_space_group_name_H-M_alt 'A m a 2'
_space_group_IT_number 40
loop_
_space_group_symop_operation_xyz
'x,y,z'
'-x,-y,z'
'-x+1/2,y,z'
'x+1/2,-y,z'
'x,y+1/2,z+1/2'
'-x,-y+1/2,z+1/2'
'-x+1/2,y+1/2,z+1/2'
'x+1/2,-y+1/2,z+1/2'
loop_
_atom_site_label
_atom_site_type_symbol
_atom_site_fract_x
_atom_site_fract_y
_atom_site_fract_z
Pu1 Pu 0.2500 0.0711 0.0000
Pu2 Pu 0.2500 0.0727 0.4320
Pu3 Pu 0.2500 0.3552 0.7183
Zn1 Zn 0.2500 0.1662 0.7169
Zn2 Zn 0.2500 0.2762 0.0515
Zn3 Zn 0.2500 0.2791 0.3847
Zn4 Zn 0.2500 0.4444 0.2136
```

***

Record-wise E values, in eV per formula unit: -36.09 -70.56 -20.36 -27.39 -45.72 -27.08 -29.90 -47.59
Record-wise magnetic moment values, in μB/cell: 0.02 2.14 5.00 0.01 0.00 8.36 0.01 69.08